This record from Alexandria via LeMat-Bulk describes a relaxed CoMo3Os crystal. The functional is PBE-GGA.

Values from the calculation:
**Magnetic moment**: 0.0 μB per formula unit
**Electronic total energy**: -8.818 eV/atom
**Energy relative to the elements**: 1.348 eV per atom
**Symmetry**: Pm-3m, No. 221

The structure in CIF format:
```
data_CoMo3Os
_chemical_formula_sum 'Co1 Mo3 Os1'
_symmetry_space_group_name_H-M 'P 1'
_symmetry_Int_Tables_number 1
_cell_length_a 4.377
_cell_length_b 4.377
_cell_length_c 4.377
_cell_angle_alpha 90.00
_cell_angle_beta 90.00
_cell_angle_gamma 90.00
loop_
_symmetry_equiv_pos_as_xyz
'x,y,z'
loop_
_atom_site_label
_atom_site_type_symbol
_atom_site_fract_x
_atom_site_fract_y
_atom_site_fract_z
Os1 Os 0.500 0.500 0.500
Co1 Co 0.000 0.000 0.000
Mo1 Mo 0.000 0.500 0.000
Mo2 Mo 0.000 0.000 0.500
Mo3 Mo 0.500 0.000 0.000
```